Density functional theory data (PBE) for a relaxed La2ZrBr crystal.

a = 5.4571 Å, b = 5.4571 Å, c = 5.4571 Å
α = 60.00°, β = 60.00°, γ = 60.00°
Last column: nearest neighbours and their distance in Å.
Atoms (fractional coordinates):
La  0.0000  0.0000  0.0000  4 Zr 3.34, 4 La 3.34
La  0.2500  0.2500  0.2500  4 Br 3.34, 4 La 3.34
Zr  0.7500  0.7500  0.7500  4 Br 3.34, 4 La 3.34
Br  0.5000  0.5000  0.5000  4 Zr 3.34, 4 La 3.34

Calculated values
Total energy in eV for the cell shown: -19.32
ΔE_f (raw) in eV per atom: 0.1880
Total magnetization in μB/cell: 1.68
Excess energy over the best structure of this formula in the dataset in meV/atom: 651
Mass density in g/cm³: 6.49